Here is an optimized crystal structure of Ta2C3 from the Alexandria database. Energies are from PBE-GGA.

a = 7.816 Å, b = 6.160 Å, c = 5.458 Å
α = 84.33°, β = 51.65°, γ = 44.02°
Positions (direct):
Ta: 0.696 0.140 0.671
Ta: 0.492 0.671 0.140
Ta: 0.579 0.758 0.554
Ta: 0.110 0.554 0.758
C: 0.221 0.283 0.032
C: 0.464 0.032 0.283
C: 0.218 0.786 0.029
C: 0.967 0.029 0.786
C: 0.127 0.373 0.373
C: 0.877 0.123 0.123

Summary:
- Fermi-level density of states (states/eV per cell) = 1.701
- density (g/cm3) = 11.978
- calculated formation energy (meV/atom) = 319
- polymorph energy (0 for the lowest one) (meV/atom) = 0